(1)
Sc5In2Pb: relaxed, GGA-PBE.

a b c (Å): 7.878 7.878 12.288
angles (deg): 90.00 90.00 90.00
Space group I4/mcm (No. 140)
Inequivalent atoms, fractional coordinates:
Sc: 0.000 0.000 0.000
Sc: 0.151 0.349 0.154
In: 0.146 0.354 0.500
Pb: 0.000 0.000 0.250

Calculated values
E_form: -35.4 kJ per mole of atoms
ρ: 5.76 g/cm³



(2)
Sc2In4Pb: relaxed, GGA-PBE.

a b c (Å): 8.937 8.939 6.373
angles (deg): 90.00 134.33 90.00
Space group C2/m (No. 12)
Inequivalent atoms, fractional coordinates:
Sc: 0.250 0.250 0.000
In: 0.000 0.000 0.500
In: 0.000 0.500 0.500
In: 0.250 0.250 0.500
Pb: 0.000 0.000 0.000

Calculated values
E_form: -13.9 kJ per mole of atoms
ρ: 6.90 g/cm³



(3)
Sc2InPb5: relaxed, GGA-PBE.

a b c (Å): 7.838 7.838 7.140
angles (deg): 90.00 90.00 90.00
Space group I4mm (No. 107)
Inequivalent atoms, fractional coordinates:
Sc: 0.000 0.500 0.000
In: 0.000 0.000 0.001
Pb: 0.000 0.000 0.500
Pb: 0.250 0.250 0.250

Calculated values
E_form: -10.8 kJ per mole of atoms
ρ: 9.39 g/cm³



(4)
ScIn2Pb: relaxed, GGA-PBE.

a b c (Å): 4.8382 4.8382 16.8115
angles (deg): 90.00 90.00 120.00
Space group R3m (No. 160, hexagonal axes)
Inequivalent atoms, fractional coordinates:
Sc: 0.0000 0.0000 0.0000
In: 0.0000 0.0000 0.4089
In: 0.0000 0.0000 0.6136
Pb: 0.0000 0.0000 0.1861

Calculated values
E_form: -0.2 kJ per mole of atoms
ρ: 7.04 g/cm³



(5)
ScInPb2: relaxed, GGA-PBE.

a b c (Å): 7.124 8.568 3.505
angles (deg): 90.00 90.00 90.00
Space group Cmmm (No. 65)
Inequivalent atoms, fractional coordinates:
Sc: 0.000 0.000 0.000
In: 0.000 0.500 0.000
Pb: 0.250 0.250 0.500

Calculated values
E_form: -12.6 kJ per mole of atoms
ρ: 8.92 g/cm³



(6)
ScInPb2: relaxed, GGA-PBE.

a b c (Å): 4.896 4.904 9.209
angles (deg): 90.00 90.00 90.00
Space group Cmmm (No. 65)
Inequivalent atoms, fractional coordinates:
Sc: 0.000 0.000 0.000
In: 0.000 0.000 0.500
Pb: 0.000 0.500 0.227

Calculated values
E_form: -10.2 kJ per mole of atoms
ρ: 8.62 g/cm³



(7)
ScIn2Pb: relaxed, GGA-PBE.

a b c (Å): 3.590 4.397 6.492
angles (deg): 90.00 90.00 90.00
Space group Pmm2 (No. 25)
Inequivalent atoms, fractional coordinates:
Sc: 0.000 0.000 0.000
In: 0.000 0.000 0.488
In: 0.500 0.500 0.242
Pb: 0.500 0.500 0.762

Calculated values
E_form: -15.3 kJ per mole of atoms
ρ: 7.81 g/cm³



(8)
Sc2In3Pb3: relaxed, GGA-PBE.

a b c (Å): 5.448 5.509 6.991
angles (deg): 90.00 90.00 90.00
Space group Pmmm (No. 47)
Inequivalent atoms, fractional coordinates:
Sc: 0.000 0.000 0.248
In: 0.000 0.500 0.000
In: 0.500 0.500 0.244
Pb: 0.000 0.500 0.500
Pb: 0.500 0.000 0.000
Pb: 0.500 0.000 0.500

Calculated values
E_form: -13.1 kJ per mole of atoms
ρ: 8.36 g/cm³



(9)
ScInPb4: relaxed, GGA-PBE.

a b c (Å): 9.079 9.079 9.079
angles (deg): 90.00 90.00 90.00
Space group F-43m (No. 216)
Inequivalent atoms, fractional coordinates:
Sc: 0.000 0.000 0.000
In: 0.250 0.250 0.750
Pb: 0.126 0.126 0.374

Calculated values
E_form: 17.6 kJ per mole of atoms
ρ: 8.77 g/cm³



(10)
Sc4In2Pb: relaxed, GGA-PBE.

a b c (Å): 4.9848 4.9848 24.5963
angles (deg): 90.00 90.00 120.00
Space group R-3m (No. 166, hexagonal axes)
Inequivalent atoms, fractional coordinates:
Sc: 0.0000 0.0000 0.1179
Sc: 0.0000 0.0000 0.3723
In: 0.0000 0.0000 0.2550
Pb: 0.0000 0.0000 0.5000

Calculated values
E_form: -21.0 kJ per mole of atoms
ρ: 5.80 g/cm³



(11)
ScInPb: relaxed, GGA-PBE.

a b c (Å): 4.334 15.846 4.326
angles (deg): 90.00 90.00 90.00
Space group Cmcm (No. 63)
Inequivalent atoms, fractional coordinates:
Sc: 0.000 0.090 0.250
In: 0.000 0.252 0.750
Pb: 0.000 0.424 0.250

Calculated values
E_form: -26.8 kJ per mole of atoms
ρ: 8.21 g/cm³
energy above the most stable polymorph in this dataset: 0 meV per atom



(12)
ScIn2Pb: relaxed, GGA-PBE.

a b c (Å): 4.375 4.375 10.242
angles (deg): 90.00 90.00 90.00
Space group I4/mmm (No. 139)
Inequivalent atoms, fractional coordinates:
Sc: 0.000 0.000 0.000
In: 0.000 0.500 0.250
Pb: 0.000 0.000 0.500

Calculated values
E_form: -21.4 kJ per mole of atoms
ρ: 8.16 g/cm³



| no. | uncorrected energy (eV per atom) |
| --- | --- |
| 1 | -5.47 |
| 2 | -4.05 |
| 3 | -4.35 |
| 4 | -3.88 |
| 5 | -4.25 |
| 6 | -4.23 |
| 7 | -4.04 |
| 8 | -4.14 |
| 9 | -3.80 |
| 10 | -5.15 |
| 11 | -4.54 |
| 12 | -4.10 |